# 1
DFT (PBE) results for crystalline TbTm2Sc at its relaxed geometry.

It has space group P4/mmm (No. 123), with a = 3.4590 Å, b = 3.4590 Å, c = 9.7134 Å, α = 90.00°, β = 90.00° and γ = 90.00°. The asymmetric unit holds Tb at (0.0000, 0.0000, 0.0000), Tm at (0.5000, 0.5000, 0.2609) and Sc at (0.0000, 0.0000, 0.5000).

The relative energy among the computed polymorphs comes out at 29 meV per atom. For the formation energy from the elements, the calculation gives 1.0 kcal/mol of atoms. The value obtained for the spin magnetization is 0.00 μB per cell.



# 2
DFT (PBE) results for crystalline Tb3Tm4Sc4 at its relaxed geometry.

It has space group P-1 (No. 2), with a = 3.3641 Å, b = 5.4064 Å, c = 17.4604 Å, α = 98.88°, β = 95.51° and γ = 90.00°. The asymmetric unit holds Tb at (0.0000, 0.0000, 0.0000), Tb at (0.1379, 0.6388, 0.2763), Tm at (0.3179, 0.8171, 0.6350), Tm at (0.4532, 0.4526, 0.9059), Sc at (0.2657, 0.2658, 0.5319) and Sc at (0.4082, 0.9076, 0.8163).

The relative energy among the computed polymorphs comes out at 19 meV per atom. For the formation energy from the elements, the calculation gives 1.6 kcal/mol of atoms. The value obtained for the spin magnetization is 0.00 μB per cell.



# 3
DFT (PBE) results for crystalline Tb2Tm3Sc at its relaxed geometry.

It has space group C2/m (No. 12), with a = 17.3342 Å, b = 3.4125 Å, c = 13.8619 Å, α = 90.00°, β = 117.49° and γ = 90.00°. The asymmetric unit holds Tb at (0.1552, 0.0000, 0.4691), Tb at (0.1792, 0.5000, 0.8788), Tm at (0.0384, 0.5000, 0.2148), Tm at (0.0989, 0.0000, 0.0258), Tm at (0.2403, 0.0000, 0.2932) and Sc at (0.0627, 0.0000, 0.6411).

The relative energy among the computed polymorphs comes out at 107 meV per atom. For the formation energy from the elements, the calculation gives 3.3 kcal/mol of atoms. The value obtained for the spin magnetization is 0.02 μB per cell.



# 4
DFT (PBE) results for crystalline Tb11Tm4Sc9 at its relaxed geometry.

It has space group Cmmm (No. 65), with a = 16.0805 Å, b = 24.4338 Å, c = 3.5391 Å, α = 90.00°, β = 90.00° and γ = 90.00°. The asymmetric unit holds Tb at (0.0000, 0.0000, 0.0000), Tb at (0.0000, 0.1604, 0.0000), Tb at (0.0000, 0.3663, 0.0000), Tb at (0.2136, 0.5000, 0.0000), Tb at (0.2205, 0.1813, 0.0000), Tm at (0.1572, 0.3987, 0.5000), Sc at (0.0000, 0.5000, 0.5000), Sc at (0.1008, 0.2681, 0.5000) and Sc at (0.1402, 0.0730, 0.5000).

For the formation energy from the elements, the calculation gives 2.2 kcal/mol of atoms. The value obtained for the spin magnetization is 0.00 μB per cell.